Entry 1:
VASP calculation (PBEsol) on crystalline Co2IrRh at its relaxed geometry.

Cell: 2.619 2.619 8.424 Å, 81.06 81.06 60.00°
Site moments in Bohr magnetons follow the coordinates.
Element x y z (fractional)
Rh1 0.254 0.254 0.239  1.68
Ir1 0.497 0.497 0.510  1.57
Co1 0.746 0.746 0.761  0.11
Co2 0.004 0.004 0.989  0.04

Results
ΔH_f (0 K) (eV/atom): 0.08
Total magnetization (μB per cell): 3.37
SG: R3m, No. 160

Entry 2:
VASP calculation (PBEsol) on crystalline CoIrRh2 at its relaxed geometry.

Cell: 2.653 4.546 4.561 Å, 100.08 90.00 106.96°
Site moments in Bohr magnetons follow the coordinates.
Element x y z (fractional)
Rh1 0.001 0.003 0.003  1.48
Co1 0.499 0.997 0.500  0.15
Ir1 0.753 0.507 0.254  0.11
Rh2 0.247 0.493 0.743  0.05

Results
ΔH_f (0 K) (eV/atom): 0.03
Total magnetization (μB per cell): 1.77
SG: Cm, No. 8

Entry 3:
VASP calculation (PBEsol) on crystalline Co2IrRh at its relaxed geometry.

Cell: 3.685 3.685 4.387 Å, 114.84 114.84 90.00°
Site moments in Bohr magnetons follow the coordinates.
Element x y z (fractional)
Co1 0.750 0.250 0.500  0.10
Co2 0.250 0.750 0.500  0.17
Rh1 0.000 0.000 0.000  0.94
Ir1 0.500 0.500 0.000  0.94

Results
ΔH_f (0 K) (eV/atom): 0.05
Total magnetization (μB per cell): 2.14
SG: I4/mmm, No. 139

Entry 4:
VASP calculation (PBEsol) on crystalline Co2IrRh at its relaxed geometry.

Cell: 2.612 4.409 4.531 Å, 99.80 90.00 107.23°
Site moments in Bohr magnetons follow the coordinates.
Element x y z (fractional)
Rh1 0.500 0.000 0.000  1.47
Ir1 0.000 0.000 0.500  1.47
Co1 0.749 0.498 0.747  0.14
Co2 0.251 0.502 0.253  0.25

Results
ΔH_f (0 K) (eV/atom): 0.07
Total magnetization (μB per cell): 3.30
SG: C2/m, No. 12

Entry 5:
VASP calculation (PBEsol) on crystalline CoIrRh2 at its relaxed geometry.

Cell: 2.656 3.708 5.238 Å, 90.00 90.00 90.00°
Site moments in Bohr magnetons follow the coordinates.
Element x y z (fractional)
Rh1 0.000 0.000 0.244  -0.07
Ir1 0.500 0.500 0.500  0.10
Rh2 0.000 0.000 0.756  1.40
Co1 0.500 0.500 0.000  0.10

Results
ΔH_f (0 K) (eV/atom): 0.03
Total magnetization (μB per cell): 1.51
SG: Pmmm, No. 47

Entry 6:
VASP calculation (PBEsol) on crystalline Co2IrRh at its relaxed geometry.

Cell: 3.603 3.603 4.482 Å, 113.70 113.70 90.00°
Site moments in Bohr magnetons follow the coordinates.
Element x y z (fractional)
Rh1 0.250 0.750 0.500  1.07
Co1 0.750 0.250 0.500  0.03
Co2 0.000 0.000 0.000  0.00
Ir1 0.500 0.500 0.000  0.90

Results
ΔH_f (0 K) (eV/atom): 0.03
Total magnetization (μB per cell): 1.98
SG: I-4m2, No. 119

Entry 7:
VASP calculation (PBEsol) on crystalline CoIrRh2 at its relaxed geometry.

Cell: 2.657 2.657 7.281 Å, 90.00 90.00 90.00°
Site moments in Bohr magnetons follow the coordinates.
Element x y z (fractional)
Rh1 0.500 0.500 0.262  0.06
Co1 0.000 0.000 0.500  0.18
Rh2 0.000 0.000 0.000  1.35
Ir1 0.500 0.500 0.739  -0.08

Results
ΔH_f (0 K) (eV/atom): 0.02
Total magnetization (μB per cell): 1.51
SG: P4mm, No. 99

Entry 8:
VASP calculation (PBEsol) on crystalline CoIrRh2 at its relaxed geometry.

Cell: 3.726 3.726 4.551 Å, 114.16 114.16 90.00°
Site moments in Bohr magnetons follow the coordinates.
Element x y z (fractional)
Rh1 0.750 0.250 0.500  0.10
Ir1 0.250 0.750 0.500  0.12
Co1 0.500 0.500 0.000  0.21
Rh2 0.000 0.000 0.000  1.44

Results
ΔH_f (0 K) (eV/atom): 0.03
Total magnetization (μB per cell): 1.86
SG: I-4m2, No. 119